Record 1
VASP calculation (GGA-PBE) on an optimized crystal structure of GdInIr.

- spin magnetization (Bohr magnetons per cell) = 7.1
- polymorph energy (0 for the lowest one) (eV per atom) = 0.234
- raw total energy (eV/atom) = -9.02

Geometry as CIF:
```
data_GdInIr
_chemical_formula_sum 'Gd1 In1 Ir1'
_symmetry_space_group_name_H-M 'P -6 m 2'
_symmetry_Int_Tables_number 187
_symmetry_space_group_name_Hall 'P -6 2'
_cell_length_a 4.7227
_cell_length_b 4.7227
_cell_length_c 3.3956
_cell_angle_alpha 90.00
_cell_angle_beta 90.00
_cell_angle_gamma 120.00
loop_
_atom_site_label
_atom_site_fract_x
_atom_site_fract_y
_atom_site_fract_z
Gd1 0.0000 0.0000 0.0000
In1 0.6667 0.3333 0.5000
Ir1 0.3333 0.6667 0.5000
```

Record 2
VASP calculation (GGA-PBE) on an optimized crystal structure of Cs3Sr.

- spin magnetization (Bohr magnetons per cell) = 0.0
- polymorph energy (0 for the lowest one) (eV per atom) = 0.000
- raw total energy (eV/atom) = -0.93

Geometry as CIF:
```
data_Cs3Sr
_chemical_formula_sum 'Cs6 Sr2'
_symmetry_space_group_name_H-M 'I m m 2'
_symmetry_Int_Tables_number 44
_cell_length_a 4.966
_cell_length_b 16.680
_cell_length_c 8.854
_cell_angle_alpha 90.00
_cell_angle_beta 90.00
_cell_angle_gamma 90.00
loop_
_symmetry_equiv_pos_as_xyz
'x,y,z'
'-x,-y,z'
'-x,y,z'
'x,-y,z'
'x+1/2,y+1/2,z+1/2'
'-x+1/2,-y+1/2,z+1/2'
'-x+1/2,y+1/2,z+1/2'
'x+1/2,-y+1/2,z+1/2'
loop_
_atom_site_label
_atom_site_fract_x
_atom_site_fract_y
_atom_site_fract_z
Cs1 0.000 0.000 0.000
Cs2 0.000 0.242 0.665
Sr1 0.000 0.500 0.993
```

Record 3
VASP calculation (GGA-PBE) on an optimized crystal structure of La2AlP.

- spin magnetization (Bohr magnetons per cell) = 0.0
- polymorph energy (0 for the lowest one) (eV per atom) = 0.324
- raw total energy (eV/atom) = -5.26

Geometry as CIF:
```
data_La2AlP
_chemical_formula_sum 'La8 Al4 P4'
_symmetry_space_group_name_H-M 'I -4 2 d'
_symmetry_Int_Tables_number 122
_symmetry_space_group_name_Hall 'I -4 2bw'
_cell_length_a 8.146
_cell_length_b 8.146
_cell_length_c 7.062
_cell_angle_alpha 90.00
_cell_angle_beta 90.00
_cell_angle_gamma 90.00
loop_
_atom_site_label
_atom_site_fract_x
_atom_site_fract_y
_atom_site_fract_z
La1 0.220 0.750 0.125
Al1 0.000 0.000 0.500
P1 0.000 0.000 0.000
```